[1]
This record from Alexandria describes a geometry-optimized SiHgRh2 structure. The functional is PBE-GGA.

Values from the calculation:
As for the energy relative to the elements, uncorrected: -0.0747 eV per atom. The value obtained for the total DFT energy (no corrections) is -5.18 eV/atom. The density is 11.7 Mg/m³. The relative energy among the computed polymorphs comes out at 0.400 eV/atom.

Unit cell a=4.2694 b=4.2694 c=3.3785 alpha=90.00 beta=90.00 gamma=90.03
With the nearest neighbours (Å) after each atom.
Fractional positions:
Si (0.5000, 0.0000, 0.5000)  8 Rh 2.72, 4 Hg 3.02
Rh (0.0000, 0.0000, 0.0000)  4 Hg 2.72, 4 Si 2.72, 4 Rh 3.02
Hg (0.0000, 0.5000, 0.5000)  8 Rh 2.72, 4 Si 3.02
Rh (0.5000, 0.5000, 0.0000)  4 Si 2.72, 4 Hg 2.72, 4 Rh 3.02

---

[2]
This record from Alexandria describes a geometry-optimized KCaTa structure. The functional is PBE-GGA.

Values from the calculation:
The calculation puts the energy of formation from the pure elements at 333 meV/atom. The value obtained for the total DFT energy (no corrections) is -4.65 eV/atom. The density is 3.9 Mg/m³. The relative energy among the computed polymorphs comes out at 0.000 eV/atom.

Unit cell a=3.6562 b=3.6571 c=16.4109 alpha=90.00 beta=90.12 gamma=90.00
With the nearest neighbours (Å) after each atom.
Fractional positions:
K (0.7933, 0.0000, 0.8902)  4 K 3.66
Ta (0.7923, 0.0000, 0.5435)  4 Ta 2.78
K (0.2856, 0.5000, 0.1345)  4 K 3.66
Ta (0.2918, 0.5000, 0.4811)  4 Ta 2.78
Ca (0.7910, 0.0000, 0.3492)  5 Ta 3.19-3.37
Ca (0.2935, 0.5000, 0.6755)  5 Ta 3.19-3.37

---

[3]
This record from Alexandria describes a geometry-optimized Ca12Tb3Pm5 structure. The functional is PBE-GGA.

Values from the calculation:
The calculation puts the energy of formation from the pure elements at 1008 meV/atom. The value obtained for the total DFT energy (no corrections) is -2.07 eV/atom. The density is 2.8 Mg/m³.

Unit cell a=17.2199 b=17.2199 c=17.2199 alpha=109.47 beta=109.47 gamma=109.47
With the nearest neighbours (Å) after each atom.
Fractional positions:
Ca (0.5871, 0.8591, 0.4313)  2 Pm 3.35-3.47, 2 Tb 3.42-3.68, 1 Ca 3.56
Ca (0.3591, 0.4313, 0.0871)  2 Pm 3.35-3.47, 2 Tb 3.42-3.68, 1 Ca 3.56
Tb (0.8750, 0.1250, 0.2500)  8 Ca 3.42-3.68
Ca (0.7720, 0.3442, 0.9129)  2 Pm 3.35-3.47, 2 Tb 3.42-3.68, 1 Ca 3.56
Ca (0.6409, 0.5687, 0.9129)  2 Pm 3.35-3.47, 2 Tb 3.42-3.68, 1 Ca 3.56
Pm (0.2500, 0.8750, 0.1250)  4 Ca 3.47
Ca (0.6558, 0.2280, 0.5871)  2 Pm 3.35-3.47, 2 Tb 3.42-3.68, 1 Ca 3.56
Ca (0.5722, 0.3442, 0.9313)  2 Pm 3.35-3.47, 2 Tb 3.42-3.68, 1 Ca 3.56
Ca (0.2280, 0.6558, 0.0871)  2 Pm 3.35-3.47, 2 Tb 3.42-3.68, 1 Ca 3.56
Pm (0.5000, 0.5000, 0.5000)  6 Ca 3.35
Pm (0.3750, 0.2500, 0.1250)  4 Ca 3.47
Pm (0.5000, 0.5000, 0.0000)  6 Ca 3.35
Ca (0.2720, 0.8591, 0.9278)  2 Pm 3.35-3.47, 2 Tb 3.42-3.68, 1 Ca 3.56
Ca (0.6409, 0.0722, 0.2280)  2 Pm 3.35-3.47, 2 Tb 3.42-3.68, 1 Ca 3.56
Pm (0.1250, 0.3750, 0.2500)  4 Ca 3.47
Ca (0.9129, 0.8442, 0.7720)  2 Pm 3.35-3.47, 2 Tb 3.42-3.68, 1 Ca 3.56
Ca (0.4129, 0.2720, 0.3442)  2 Pm 3.35-3.47, 2 Tb 3.42-3.68, 1 Ca 3.56
Ca (0.1558, 0.0687, 0.9278)  2 Pm 3.35-3.47, 2 Tb 3.42-3.68, 1 Ca 3.56
Ca (0.7280, 0.1409, 0.0722)  2 Pm 3.35-3.47, 2 Tb 3.42-3.68, 1 Ca 3.56
Ca (0.9313, 0.8442, 0.5722)  2 Pm 3.35-3.47, 2 Tb 3.42-3.68, 1 Ca 3.56
Pm (0.5000, 0.0000, 0.0000)  6 Ca 3.35
Pm (0.0000, 0.0000, 0.0000)  6 Ca 3.35
Tb (0.7500, 0.3750, 0.1250)  8 Ca 3.42-3.68
Pm (0.6250, 0.7500, 0.8750)  4 Ca 3.47
Tb (0.1250, 0.2500, 0.8750)  8 Ca 3.42-3.68
Ca (0.2280, 0.5722, 0.6409)  2 Pm 3.35-3.47, 2 Tb 3.42-3.68, 1 Ca 3.56
Tb (0.1250, 0.8750, 0.7500)  8 Ca 3.42-3.68
Pm (0.8750, 0.6250, 0.7500)  4 Ca 3.47
Pm (0.0000, 0.5000, 0.0000)  6 Ca 3.35
Ca (0.5871, 0.7280, 0.6558)  2 Pm 3.35-3.47, 2 Tb 3.42-3.68, 1 Ca 3.56
Ca (0.0687, 0.9129, 0.1409)  2 Pm 3.35-3.47, 2 Tb 3.42-3.68, 1 Ca 3.56
Pm (0.7500, 0.6250, 0.3750)  4 Ca 3.47
Ca (0.5687, 0.9278, 0.6558)  2 Pm 3.35-3.47, 2 Tb 3.42-3.68, 1 Ca 3.56
Pm (0.0000, 0.0000, 0.5000)  6 Ca 3.35
Tb (0.2500, 0.6250, 0.8750)  8 Ca 3.42-3.68
Ca (0.4129, 0.1409, 0.5687)  2 Pm 3.35-3.47, 2 Tb 3.42-3.68, 1 Ca 3.56
Tb (0.8750, 0.7500, 0.1250)  8 Ca 3.42-3.68
Pm (0.3750, 0.1250, 0.7500)  4 Ca 3.47
Ca (0.1409, 0.4129, 0.0687)  2 Pm 3.35-3.47, 2 Tb 3.42-3.68, 1 Ca 3.56
Ca (0.9129, 0.0687, 0.6409)  2 Pm 3.35-3.47, 2 Tb 3.42-3.68, 1 Ca 3.56
Ca (0.8442, 0.9129, 0.2720)  2 Pm 3.35-3.47, 2 Tb 3.42-3.68, 1 Ca 3.56
Tb (0.3750, 0.7500, 0.6250)  8 Ca 3.42-3.68
Tb (0.2500, 0.1250, 0.3750)  8 Ca 3.42-3.68
Ca (0.9278, 0.3591, 0.2720)  2 Pm 3.35-3.47, 2 Tb 3.42-3.68, 1 Ca 3.56
Ca (0.7280, 0.5871, 0.1558)  2 Pm 3.35-3.47, 2 Tb 3.42-3.68, 1 Ca 3.56
Ca (0.4278, 0.7720, 0.8591)  2 Pm 3.35-3.47, 2 Tb 3.42-3.68, 1 Ca 3.56
Ca (0.0871, 0.1558, 0.2280)  2 Pm 3.35-3.47, 2 Tb 3.42-3.68, 1 Ca 3.56
Ca (0.0722, 0.4313, 0.8442)  2 Pm 3.35-3.47, 2 Tb 3.42-3.68, 1 Ca 3.56
Pm (0.5000, 0.0000, 0.5000)  6 Ca 3.35
Ca (0.3442, 0.5722, 0.4313)  2 Pm 3.35-3.47, 2 Tb 3.42-3.68, 1 Ca 3.56
Tb (0.3750, 0.6250, 0.2500)  8 Ca 3.42-3.68
Ca (0.3591, 0.9278, 0.7720)  2 Pm 3.35-3.47, 2 Tb 3.42-3.68, 1 Ca 3.56
Ca (0.9313, 0.0871, 0.8591)  2 Pm 3.35-3.47, 2 Tb 3.42-3.68, 1 Ca 3.56
Pm (0.7500, 0.1250, 0.8750)  4 Ca 3.47
Pm (0.6250, 0.8750, 0.2500)  4 Ca 3.47
Ca (0.4313, 0.0722, 0.3442)  2 Pm 3.35-3.47, 2 Tb 3.42-3.68, 1 Ca 3.56
Ca (0.5687, 0.6409, 0.4129)  2 Pm 3.35-3.47, 2 Tb 3.42-3.68, 1 Ca 3.56
Ca (0.4313, 0.3591, 0.5871)  2 Pm 3.35-3.47, 2 Tb 3.42-3.68, 1 Ca 3.56
Pm (0.1250, 0.7500, 0.3750)  4 Ca 3.47
Tb (0.7500, 0.8750, 0.6250)  8 Ca 3.42-3.68
Pm (0.8750, 0.2500, 0.6250)  4 Ca 3.47
Tb (0.6250, 0.3750, 0.7500)  8 Ca 3.42-3.68
Ca (0.1409, 0.7280, 0.5722)  2 Pm 3.35-3.47, 2 Tb 3.42-3.68, 1 Ca 3.56
Pm (0.2500, 0.3750, 0.6250)  4 Ca 3.47
Ca (0.8442, 0.9313, 0.0722)  2 Pm 3.35-3.47, 2 Tb 3.42-3.68, 1 Ca 3.56
Ca (0.1558, 0.0871, 0.7280)  2 Pm 3.35-3.47, 2 Tb 3.42-3.68, 1 Ca 3.56
Ca (0.0871, 0.9313, 0.3591)  2 Pm 3.35-3.47, 2 Tb 3.42-3.68, 1 Ca 3.56
Ca (0.6558, 0.4278, 0.5687)  2 Pm 3.35-3.47, 2 Tb 3.42-3.68, 1 Ca 3.56
Ca (0.7720, 0.4278, 0.3591)  2 Pm 3.35-3.47, 2 Tb 3.42-3.68, 1 Ca 3.56
Ca (0.8591, 0.2720, 0.4278)  2 Pm 3.35-3.47, 2 Tb 3.42-3.68, 1 Ca 3.56
Ca (0.5722, 0.2280, 0.1409)  2 Pm 3.35-3.47, 2 Tb 3.42-3.68, 1 Ca 3.56
Ca (0.0687, 0.1558, 0.4278)  2 Pm 3.35-3.47, 2 Tb 3.42-3.68, 1 Ca 3.56
Ca (0.0722, 0.6409, 0.7280)  2 Pm 3.35-3.47, 2 Tb 3.42-3.68, 1 Ca 3.56
Ca (0.2720, 0.4129, 0.8442)  2 Pm 3.35-3.47, 2 Tb 3.42-3.68, 1 Ca 3.56
Ca (0.4278, 0.6558, 0.0687)  2 Pm 3.35-3.47, 2 Tb 3.42-3.68, 1 Ca 3.56
Pm (0.0000, 0.5000, 0.5000)  6 Ca 3.35
Tb (0.6250, 0.2500, 0.3750)  8 Ca 3.42-3.68
Ca (0.3442, 0.7720, 0.4129)  2 Pm 3.35-3.47, 2 Tb 3.42-3.68, 1 Ca 3.56
Ca (0.8591, 0.5871, 0.9313)  2 Pm 3.35-3.47, 2 Tb 3.42-3.68, 1 Ca 3.56
Ca (0.9278, 0.5687, 0.1558)  2 Pm 3.35-3.47, 2 Tb 3.42-3.68, 1 Ca 3.56

---

Repeat the first record exactly.
This record from Alexandria describes a geometry-optimized SiHgRh2 structure. The functional is PBE-GGA.

Values from the calculation:
As for the energy relative to the elements, uncorrected: -0.0747 eV per atom. The value obtained for the total DFT energy (no corrections) is -5.18 eV/atom. The density is 11.7 Mg/m³. The relative energy among the computed polymorphs comes out at 0.400 eV/atom.

Unit cell a=4.2694 b=4.2694 c=3.3785 alpha=90.00 beta=90.00 gamma=90.03
With the nearest neighbours (Å) after each atom.
Fractional positions:
Si (0.5000, 0.0000, 0.5000)  8 Rh 2.72, 4 Hg 3.02
Rh (0.0000, 0.0000, 0.0000)  4 Hg 2.72, 4 Si 2.72, 4 Rh 3.02
Hg (0.0000, 0.5000, 0.5000)  8 Rh 2.72, 4 Si 3.02
Rh (0.5000, 0.5000, 0.0000)  4 Si 2.72, 4 Hg 2.72, 4 Rh 3.02